Record 1
PaBrO5: optimized geometry, GGA-PBE.

Results
- Size of the total moment: 0.0 μB/f.u.
- E_form (uncorrected): -1431.3 meV/atom

abc: 5.501 5.501 7.733
angles: 110.48 110.48 72.32
Element x y z (fractional)
Pa 0.038 0.962 0.750
Pa 0.962 0.038 0.250
Br 0.500 0.500 0.000
Br 0.500 0.500 0.500
O 0.189 0.791 0.029
O 0.209 0.811 0.471
O 0.231 0.277 0.374
O 0.277 0.231 0.874
O 0.412 0.588 0.750
O 0.588 0.412 0.250
O 0.723 0.769 0.126
O 0.769 0.723 0.626
O 0.791 0.189 0.529
O 0.811 0.209 0.971

=====

Record 2
Pa2Br5O: optimized geometry, GGA-PBE.

Results
- Size of the total moment: 2.4 μB/f.u.
- E_form (uncorrected): -1619.1 meV/atom

abc: 7.742 7.742 20.764
angles: 90.00 90.00 154.38
Element x y z (fractional)
Pa 0.247 0.753 0.672
Pa 0.247 0.753 0.828
Pa 0.753 0.247 0.172
Pa 0.753 0.247 0.328
Br 0.106 0.894 0.250
Br 0.158 0.842 0.083
Br 0.158 0.842 0.417
Br 0.388 0.612 0.115
Br 0.388 0.612 0.385
Br 0.612 0.388 0.615
Br 0.612 0.388 0.885
Br 0.842 0.158 0.583
Br 0.842 0.158 0.917
Br 0.894 0.106 0.750
O 0.291 0.709 0.250
O 0.709 0.291 0.750

=====

Record 3
PaBr2O: optimized geometry, GGA-PBE.

Results
- Size of the total moment: 1.0 μB/f.u.
- E_form (uncorrected): -2281.6 meV/atom

abc: 8.543 8.543 8.543
angles: 26.15 26.15 26.15
Element x y z (fractional)
Pa 0.000 0.000 0.000
Br 0.580 0.580 0.580
Br 0.754 0.754 0.754
O 0.333 0.333 0.333

=====

Record 4
Pa2BrO4: optimized geometry, GGA-PBE.

Results
- Size of the total moment: 1.1 μB/f.u.
- E_form (uncorrected): -3181.1 meV/atom

abc: 8.726 8.726 8.726
angles: 25.58 25.58 25.58
Element x y z (fractional)
Pa 0.229 0.229 0.229
Pa 0.771 0.771 0.771
Br 0.000 0.000 0.000
O 0.140 0.140 0.140
O 0.422 0.422 0.422
O 0.578 0.578 0.578
O 0.860 0.860 0.860

=====

Record 5
Pa2Br8O: optimized geometry, GGA-PBE.

Results
- Size of the total moment: 0.0 μB/f.u.
- E_form (uncorrected): -1677.4 meV/atom

abc: 10.170 10.170 5.753
angles: 106.30 106.30 69.43
Element x y z (fractional)
Pa 0.132 0.132 0.131
Pa 0.868 0.868 0.869
Br 0.101 0.639 0.871
Br 0.132 0.132 0.630
Br 0.302 0.302 0.299
Br 0.361 0.899 0.129
Br 0.639 0.101 0.871
Br 0.698 0.698 0.701
Br 0.868 0.868 0.370
Br 0.899 0.361 0.129
O 0.000 0.000 0.000

=====

Record 6
PaBr2O2: optimized geometry, GGA-PBE.

Results
- Size of the total moment: 0.1 μB/f.u.
- E_form (uncorrected): -2167.2 meV/atom

abc: 7.652 7.652 5.681
angles: 96.20 96.20 50.15
Element x y z (fractional)
Pa 0.148 0.852 0.750
Pa 0.852 0.148 0.250
Br 0.342 0.396 0.397
Br 0.396 0.342 0.897
Br 0.604 0.658 0.103
Br 0.658 0.604 0.603
O 0.031 0.136 0.983
O 0.136 0.031 0.483
O 0.864 0.969 0.517
O 0.969 0.864 0.017

=====

Record 7
Pa2Br2O5: optimized geometry, GGA-PBE.

Results
- Size of the total moment: 0.0 μB/f.u.
- E_form (uncorrected): -2485.5 meV/atom

abc: 7.638 7.638 4.242
angles: 91.76 91.76 39.67
Element x y z (fractional)
Pa 0.150 0.150 0.482
Pa 0.850 0.850 0.518
Br 0.428 0.428 0.848
Br 0.572 0.572 0.152
O 0.000 0.000 0.500
O 0.159 0.159 0.975
O 0.296 0.296 0.492
O 0.704 0.704 0.508
O 0.841 0.841 0.025

=====

Record 8
PaBrO6: optimized geometry, GGA-PBE.

Results
- Size of the total moment: 0.0 μB/f.u.
- E_form (uncorrected): -1044.5 meV/atom

abc: 5.061 5.061 9.418
angles: 90.00 90.00 120.00
Element x y z (fractional)
Pa 0.333 0.667 0.250
Pa 0.667 0.333 0.750
Br 0.000 0.000 0.000
Br 0.000 0.000 0.500
O 0.015 0.299 0.112
O 0.015 0.716 0.388
O 0.284 0.299 0.388
O 0.284 0.985 0.112
O 0.299 0.015 0.612
O 0.299 0.284 0.888
O 0.701 0.716 0.112
O 0.701 0.985 0.388
O 0.716 0.015 0.888
O 0.716 0.701 0.612
O 0.985 0.284 0.612
O 0.985 0.701 0.888

=====

Record 9
PaBr2O2: optimized geometry, GGA-PBE.

Results
- Size of the total moment: 0.4 μB/f.u.
- E_form (uncorrected): -2050.8 meV/atom

abc: 3.722 3.722 9.634
angles: 90.00 90.00 120.00
Element x y z (fractional)
Pa 0.000 0.000 0.000
Br 0.333 0.667 0.704
Br 0.667 0.333 0.296
O 0.333 0.667 0.062
O 0.667 0.333 0.938

=====

Record 10
PaBr2O6: optimized geometry, GGA-PBE.

Results
- Size of the total moment: 0.0 μB/f.u.
- E_form (uncorrected): -1067.9 meV/atom

abc: 7.763 7.763 5.961
angles: 110.19 110.19 60.03
Element x y z (fractional)
Pa 0.128 0.872 0.750
Pa 0.872 0.128 0.250
Br 0.300 0.317 0.326
Br 0.317 0.300 0.826
Br 0.683 0.700 0.174
Br 0.700 0.683 0.674
O 0.069 0.124 0.613
O 0.124 0.069 0.113
O 0.140 0.550 0.833
O 0.297 0.551 0.473
O 0.449 0.703 0.027
O 0.450 0.860 0.667
O 0.550 0.140 0.333
O 0.551 0.297 0.973
O 0.703 0.449 0.527
O 0.860 0.450 0.167
O 0.876 0.931 0.887
O 0.931 0.876 0.387

=====

Record 11
Pa5Br2O12: optimized geometry, GGA-PBE.

Results
- Size of the total moment: 0.1 μB/f.u.
- E_form (uncorrected): -3086.5 meV/atom

abc: 6.920 6.920 9.963
angles: 94.75 94.75 48.11
Element x y z (fractional)
Pa 0.000 0.000 0.000
Pa 0.276 0.276 0.869
Pa 0.403 0.403 0.233
Pa 0.597 0.597 0.767
Pa 0.724 0.724 0.131
Br 0.249 0.751 0.500
Br 0.751 0.249 0.500
O 0.001 0.001 0.807
O 0.040 0.526 0.271
O 0.112 0.593 0.033
O 0.407 0.888 0.967
O 0.446 0.446 0.823
O 0.474 0.960 0.729
O 0.526 0.040 0.271
O 0.554 0.554 0.177
O 0.593 0.112 0.033
O 0.888 0.407 0.967
O 0.960 0.474 0.729
O 0.999 0.999 0.193

=====

Record 12
PuPaBrO6: optimized geometry, GGA-PBE.

Results
- Size of the total moment: 2.0 μB/f.u.
- E_form (uncorrected): -2391.8 meV/atom

abc: 8.052 8.052 8.052
angles: 120.34 115.54 93.66
Element x y z (fractional)
Pu 0.000 0.000 0.000
Pu 0.500 0.000 0.500
Pa 0.500 0.000 0.000
Pa 0.500 0.500 0.500
Br 0.008 0.258 0.750
Br 0.992 0.742 0.250
O 0.159 0.909 0.250
O 0.187 0.288 0.251
O 0.187 0.936 0.899
O 0.438 0.688 0.750
O 0.463 0.064 0.751
O 0.463 0.712 0.399
O 0.537 0.288 0.601
O 0.537 0.936 0.249
O 0.562 0.312 0.250
O 0.813 0.064 0.101
O 0.813 0.712 0.749
O 0.841 0.091 0.750

=====

Record 13
PaReBr2O6: optimized geometry, GGA-PBE.

Results
- Size of the total moment: 0.0 μB/f.u.
- E_form (uncorrected): -1526.7 meV/atom

abc: 5.448 5.696 6.063
angles: 64.42 63.39 61.58
Element x y z (fractional)
Pa 0.000 0.000 0.000
Re 0.500 0.500 0.500
Br 0.275 0.238 0.210
Br 0.725 0.762 0.790
O 0.252 0.723 0.288
O 0.262 0.277 0.711
O 0.269 0.739 0.724
O 0.731 0.261 0.276
O 0.738 0.723 0.289
O 0.748 0.277 0.712

=====

Record 14
PaRe2BrO8: optimized geometry, GGA-PBE.

Results
- Size of the total moment: 1.3 μB/f.u.
- E_form (uncorrected): -1885.0 meV/atom

abc: 6.645 6.645 6.056
angles: 90.00 90.00 120.00
Element x y z (fractional)
Pa 0.000 0.000 0.000
Re 0.333 0.667 0.767
Re 0.667 0.333 0.233
Br 0.000 0.000 0.500
O 0.187 0.374 0.871
O 0.187 0.813 0.871
O 0.333 0.667 0.481
O 0.374 0.187 0.129
O 0.626 0.813 0.871
O 0.667 0.333 0.519
O 0.813 0.187 0.129
O 0.813 0.626 0.129

=====

Record 15
PaS2BrO8: optimized geometry, GGA-PBE.

Results
- Size of the total moment: 0.0 μB/f.u.
- E_form (uncorrected): -1755.5 meV/atom

abc: 6.065 6.065 5.921
angles: 90.00 90.00 120.00
Element x y z (fractional)
Pa 0.000 0.000 0.000
S 0.333 0.667 0.767
S 0.667 0.333 0.233
Br 0.000 0.000 0.500
O 0.202 0.403 0.867
O 0.202 0.798 0.867
O 0.333 0.667 0.526
O 0.403 0.202 0.133
O 0.597 0.798 0.867
O 0.667 0.333 0.474
O 0.798 0.202 0.133
O 0.798 0.597 0.133

=====

Record 16
PaSeBrO6: optimized geometry, GGA-PBE.

Results
- Size of the total moment: 0.0 μB/f.u.
- E_form (uncorrected): -1373.2 meV/atom

abc: 5.666 5.666 6.396
angles: 101.75 101.75 121.80
Element x y z (fractional)
Pa 0.000 0.000 0.000
Se 0.350 0.650 0.000
Br 0.707 0.293 0.500
O 0.167 0.463 0.176
O 0.226 0.288 0.819
O 0.397 0.005 0.173
O 0.537 0.833 0.824
O 0.712 0.774 0.181
O 0.995 0.603 0.827

=====

Record 17
PaSeBrO: optimized geometry, GGA-PBE.

Results
- Size of the total moment: 0.0 μB/f.u.
- E_form (uncorrected): -2166.9 meV/atom

abc: 3.874 3.874 8.082
angles: 103.97 103.97 60.00
Element x y z (fractional)
Pa 0.000 0.000 0.000
Se 0.254 0.254 0.763
Br 0.429 0.429 0.284
O 0.674 0.674 0.023

=====

Record 18
PaTcBr2O6: optimized geometry, GGA-PBE.

Results
- Size of the total moment: 0.4 μB/f.u.
- E_form (uncorrected): -1395.1 meV/atom

abc: 5.447 5.862 5.879
angles: 90.43 117.45 117.54
Element x y z (fractional)
Pa 0.000 0.000 0.000
Tc 0.000 0.500 0.500
Br 0.500 0.225 0.775
Br 0.500 0.775 0.225
O 0.000 0.267 0.732
O 0.000 0.733 0.268
O 0.024 0.280 0.281
O 0.460 0.718 0.718
O 0.540 0.282 0.282
O 0.976 0.720 0.719

=====

Record 19
PaTe2BrO8: optimized geometry, GGA-PBE.

Results
- Size of the total moment: 0.1 μB/f.u.
- E_form (uncorrected): -1319.3 meV/atom

abc: 6.330 6.330 6.633
angles: 90.00 90.00 120.00
Element x y z (fractional)
Pa 0.000 0.000 0.000
Te 0.333 0.667 0.732
Te 0.667 0.333 0.268
Br 0.000 0.000 0.500
O 0.181 0.363 0.858
O 0.181 0.819 0.858
O 0.333 0.667 0.461
O 0.363 0.181 0.142
O 0.637 0.819 0.858
O 0.667 0.333 0.539
O 0.819 0.181 0.142
O 0.819 0.637 0.142

=====

Record 20
PaTeBrO6: optimized geometry, GGA-PBE.

Results
- Size of the total moment: 0.0 μB/f.u.
- E_form (uncorrected): -1713.4 meV/atom

abc: 7.756 7.756 7.756
angles: 123.57 111.56 94.56
Element x y z (fractional)
Pa 0.000 0.000 0.000
Pa 0.500 0.000 0.500
Te 0.500 0.000 0.000
Te 0.500 0.500 0.500
Br 0.023 0.273 0.750
Br 0.977 0.727 0.250
O 0.153 0.903 0.250
O 0.219 0.319 0.288
O 0.219 0.931 0.900
O 0.431 0.681 0.750
O 0.469 0.069 0.788
O 0.469 0.681 0.400
O 0.531 0.319 0.600
O 0.531 0.931 0.212
O 0.569 0.319 0.250
O 0.781 0.069 0.100
O 0.781 0.681 0.712
O 0.847 0.097 0.750